Record 1
## AuSeS2N (PBEsol)

Data for a geometry-optimized AuSeS2N structure.

Geometry as CIF:
```
data_AuSeS2N
_symmetry_space_group_name_H-M 'P 4/m m m'
_symmetry_Int_Tables_number 123
_symmetry_space_group_name_Hall '-P 4 2'
_cell_length_a 4.925
_cell_length_b 4.925
_cell_length_c 3.696
_cell_angle_alpha 90.00
_cell_angle_beta 90.00
_cell_angle_gamma 90.00
loop_
_atom_site_label
_atom_site_fract_x
_atom_site_fract_y
_atom_site_fract_z
Au1 0.000 0.000 0.000
Se1 0.500 0.500 0.500
S1 0.000 0.500 0.000
N1 0.000 0.000 0.500
```

Output
- mass density (g/cm³) = 6.56
- N(E_F) (states/eV per cell) = 3.222

=====

Record 2
## AuSe2SN (PBEsol)

Data for a geometry-optimized AuSe2SN structure.

Geometry as CIF:
```
data_AuSe2SN
_symmetry_space_group_name_H-M 'P 4/m m m'
_symmetry_Int_Tables_number 123
_symmetry_space_group_name_Hall '-P 4 2'
_cell_length_a 5.082
_cell_length_b 5.082
_cell_length_c 3.221
_cell_angle_alpha 90.00
_cell_angle_beta 90.00
_cell_angle_gamma 90.00
loop_
_atom_site_label
_atom_site_fract_x
_atom_site_fract_y
_atom_site_fract_z
Au1 0.000 0.000 0.000
Se1 0.000 0.500 0.500
S1 0.500 0.500 0.500
N1 0.500 0.500 0.000
```

Output
- mass density (g/cm³) = 8.00
- N(E_F) (states/eV per cell) = 4.666

=====

Record 3
## SiAuSN2 (PBEsol)

Data for a geometry-optimized SiAuSN2 structure.

Geometry as CIF:
```
data_SiAuSN2
_symmetry_space_group_name_H-M 'P 4/m m m'
_symmetry_Int_Tables_number 123
_symmetry_space_group_name_Hall '-P 4 2'
_cell_length_a 3.927
_cell_length_b 3.927
_cell_length_c 5.072
_cell_angle_alpha 90.00
_cell_angle_beta 90.00
_cell_angle_gamma 90.00
loop_
_atom_site_label
_atom_site_fract_x
_atom_site_fract_y
_atom_site_fract_z
Si1 0.000 0.000 0.000
Au1 0.500 0.500 0.500
S1 0.500 0.500 0.000
N1 0.000 0.500 0.500
```

Output
- mass density (g/cm³) = 6.05
- N(E_F) (states/eV per cell) = 2.478

=====

Record 4
## SrAu2SN (PBEsol)

Data for a geometry-optimized SrAu2SN structure.

Geometry as CIF:
```
data_SrAu2SN
_symmetry_space_group_name_H-M 'P 4/m m m'
_symmetry_Int_Tables_number 123
_symmetry_space_group_name_Hall '-P 4 2'
_cell_length_a 4.096
_cell_length_b 4.096
_cell_length_c 6.149
_cell_angle_alpha 90.00
_cell_angle_beta 90.00
_cell_angle_gamma 90.00
loop_
_atom_site_label
_atom_site_fract_x
_atom_site_fract_y
_atom_site_fract_z
Sr1 0.000 0.000 0.000
Au1 0.000 0.500 0.500
S1 0.500 0.500 0.000
N1 0.500 0.500 0.500
```

Output
- mass density (g/cm³) = 8.49
- N(E_F) (states/eV per cell) = 1.708

=====

Record 5
## ZnAuS2N (PBEsol)

Data for a geometry-optimized ZnAuS2N structure.

Geometry as CIF:
```
data_ZnAuS2N
_symmetry_space_group_name_H-M 'P 4/m m m'
_symmetry_Int_Tables_number 123
_symmetry_space_group_name_Hall '-P 4 2'
_cell_length_a 4.957
_cell_length_b 4.957
_cell_length_c 3.680
_cell_angle_alpha 90.00
_cell_angle_beta 90.00
_cell_angle_gamma 90.00
loop_
_atom_site_label
_atom_site_fract_x
_atom_site_fract_y
_atom_site_fract_z
Zn1 0.000 0.000 0.000
Au1 0.500 0.500 0.500
S1 0.000 0.500 0.500
N1 0.500 0.500 0.000
```

Output
- mass density (g/cm³) = 6.25
- N(E_F) (states/eV per cell) = 3.308

=====

Record 6
## Sc2AuN (PBEsol)

Data for a geometry-optimized Sc2AuN structure.

Geometry as CIF:
```
data_Sc2AuN
_symmetry_space_group_name_H-M 'F m -3 m'
_symmetry_Int_Tables_number 225
_symmetry_space_group_name_Hall '-F 4 2 3'
_cell_length_a 6.320
_cell_length_b 6.320
_cell_length_c 6.320
_cell_angle_alpha 90.00
_cell_angle_beta 90.00
_cell_angle_gamma 90.00
loop_
_atom_site_label
_atom_site_fract_x
_atom_site_fract_y
_atom_site_fract_z
Sc1 0.250 0.250 0.250
Au1 0.000 0.000 0.000
N1 0.000 0.000 0.500
```

Output
- mass density (g/cm³) = 7.92
- N(E_F) (states/eV per cell) = 18.512

=====

In order of appearance, ΔE_f (raw) = 1.203 0.884 1.706 -0.116 1.042 -0.215 eV/atom.